This record from Alexandria describes a relaxed structure of YTcI2Cl. The functional is GGA-PBE.

a = 6.0700 Å, b = 6.0700 Å, c = 5.2240 Å
α = 90.00°, β = 90.00°, γ = 90.00°
Fractional positions:
1 Y 0.0000 0.0000 0.0000
2 Tc 0.5000 0.5000 0.5000
3 I 0.0000 0.5000 0.0000
4 I 0.5000 0.0000 0.0000
5 Cl 0.0000 0.0000 0.5000

Computed properties:
**SG**: P4/mmm (123)
**Formation energy (no corrections)**: -0.01 eV/atom